[1]
Below is PuBeB after structural relaxation, with properties calculated at the PBE level.

Results
Final energy ... -23.98 eV per cell

Unit cell a=3.975 b=3.975 c=3.975 alpha=60.00 beta=60.00 gamma=60.00
Each line ends with the local moment (μB).
Fractional positions:
B1 0.000 0.000 0.000  -0.09
Be1 0.250 0.250 0.250  0.03
Pu1 0.750 0.750 0.750  4.75


[2]
Below is BeReBTe after structural relaxation, with properties calculated at the PBE level.

Results
Final energy ... -20.16 eV per cell

Unit cell a=4.323 b=4.323 c=4.323 alpha=60.00 beta=60.00 gamma=60.00
Fractional positions:
Be1 0.750 0.750 0.750
Re1 0.500 0.500 0.500
Te1 0.250 0.250 0.250
B1 0.000 0.000 0.000


[3]
Below is BeReBTe after structural relaxation, with properties calculated at the PBE level.

Results
Final energy ... -21.01 eV per cell

Unit cell a=4.286 b=4.286 c=4.286 alpha=60.00 beta=60.00 gamma=60.00
Fractional positions:
B1 0.500 0.500 0.500
Te1 0.000 0.000 0.000
Be1 0.750 0.750 0.750
Re1 0.250 0.250 0.250


no.,polymorph energy (0 for the lowest one) (meV/atom),M_tot (μB/f.u.),theoretical density (g cm⁻³)
1,0,5.01,9.87
2,214,0.01,9.70
3,0,0.00,9.95